VASP calculation (PBE) on a relaxed structure of Tb2PrDy4Ho.

Structure (CIF):
```
data_Tb2PrDy4Ho
_chemical_formula_sum 'Tb4 Pr2 Dy8 Ho2'
_space_group_name_H-M_alt 'P 1'
_space_group_IT_number 1
_space_group_name_Hall 'P 1'
_cell_length_a 9.486
_cell_length_b 9.486
_cell_length_c 11.794
_cell_angle_alpha 128.45
_cell_angle_beta 128.45
_cell_angle_gamma 88.31
loop_
_atom_site_label
_atom_site_type_symbol
_atom_site_fract_x
_atom_site_fract_y
_atom_site_fract_z
Dy1 Dy 0.247 0.753 0.511
Tb1 Tb 0.000 0.000 0.500
Tb2 Tb 0.500 0.500 0.000
Dy2 Dy 0.247 0.249 0.500
Dy3 Dy 0.753 0.751 0.500
Dy4 Dy 0.253 0.747 0.011
Dy5 Dy 0.251 0.253 0.000
Pr1 Pr 0.500 0.500 0.500
Dy6 Dy 0.749 0.747 0.000
Ho1 Ho 0.000 0.500 0.500
Dy7 Dy 0.747 0.253 0.989
Pr2 Pr 0.000 0.000 0.000
Tb3 Tb 0.500 0.000 0.000
Tb4 Tb 0.500 0.000 0.500
Dy8 Dy 0.753 0.247 0.489
Ho2 Ho 0.000 0.500 0.000
```

Properties
symmetry: C2/c (15)
ΔE_f: 430.3 meV per atom